No. 1
# BaAc4Ga5 (PBE-GGA, relaxed)
# energy of formation from the pure elements	-0.410	eV/atom
# total energy	-3.759	eV/atom
data_BaAc4Ga5
_symmetry_space_group_name_H-M 'P 1'
_symmetry_Int_Tables_number 1
_symmetry_space_group_name_Hall 'P 1'
_cell_length_a 3.9551
_cell_length_b 3.9551
_cell_length_c 19.9168
_cell_angle_alpha 90.00
_cell_angle_beta 90.00
_cell_angle_gamma 90.00
loop_
_atom_site_label
_atom_site_type_symbol
_atom_site_fract_x
_atom_site_fract_y
_atom_site_fract_z
_atom_site_occupancy
Ba1 Ba 0.0000 0.0000 0.0000 1
Ac1 Ac 0.0000 0.0000 0.2058 1
Ac2 Ac 0.0000 0.0000 0.4026 1
Ac3 Ac 0.0000 0.0000 0.5974 1
Ac4 Ac 0.0000 0.0000 0.7942 1
Ga1 Ga 0.5000 0.5000 0.1138 1
Ga2 Ga 0.5000 0.5000 0.3052 1
Ga3 Ga 0.5000 0.5000 0.5000 1
Ga4 Ga 0.5000 0.5000 0.6948 1
Ga5 Ga 0.5000 0.5000 0.8862 1

=====

No. 2
# Ba2Cd2Pb (PBE-GGA, relaxed)
# excess energy over the best structure of this formula in the dataset	0	meV/atom
# energy of formation from the pure elements	-0.401	eV/atom
# total energy	-2.278	eV/atom
data_Ba2Cd2Pb
_symmetry_space_group_name_H-M 'P 1'
_symmetry_Int_Tables_number 1
_symmetry_space_group_name_Hall 'P 1'
_cell_length_a 5.1856
_cell_length_b 6.7589
_cell_length_c 11.8405
_cell_angle_alpha 86.97
_cell_angle_beta 77.35
_cell_angle_gamma 67.44
loop_
_atom_site_label
_atom_site_type_symbol
_atom_site_fract_x
_atom_site_fract_y
_atom_site_fract_z
_atom_site_occupancy
Ba1 Ba 0.6787 0.2984 0.3442 1
Ba2 Ba 0.9180 0.2800 0.8840 1
Ba3 Ba 0.3213 0.7016 0.6558 1
Ba4 Ba 0.0820 0.7200 0.1160 1
Cd1 Cd 0.0846 0.2781 0.5526 1
Cd2 Cd 0.6234 0.8604 0.8928 1
Cd3 Cd 0.9154 0.7219 0.4474 1
Cd4 Cd 0.3766 0.1396 0.1072 1
Pb1 Pb 0.6179 0.1041 0.6601 1
Pb2 Pb 0.3821 0.8959 0.3399 1

=====

No. 3
# Mg3HgF (PBE-GGA, relaxed)
# excess energy over the best structure of this formula in the dataset	0	meV/atom
# uncorrected formation energy	-0.855	eV/atom
# total energy	-2.246	eV/atom
data_Mg3HgF
_symmetry_space_group_name_H-M 'P 1'
_symmetry_Int_Tables_number 1
_symmetry_space_group_name_Hall 'P 1'
_cell_length_a 4.5123
_cell_length_b 4.5123
_cell_length_c 4.5123
_cell_angle_alpha 90.00
_cell_angle_beta 90.00
_cell_angle_gamma 90.00
loop_
_atom_site_label
_atom_site_type_symbol
_atom_site_fract_x
_atom_site_fract_y
_atom_site_fract_z
_atom_site_occupancy
Mg1 Mg 0.0000 0.5000 0.0000 1
Mg2 Mg 0.0000 0.0000 0.5000 1
Mg3 Mg 0.5000 0.0000 0.0000 1
Hg1 Hg 0.5000 0.5000 0.5000 1
F1 F 0.0000 0.0000 0.0000 1

=====

No. 4
# GaBiH (PBE-GGA, relaxed)
# excess energy over the best structure of this formula in the dataset	107	meV/atom
# total energy	-3.251	eV/atom
data_GaBiH
_symmetry_space_group_name_H-M 'P 1'
_symmetry_Int_Tables_number 1
_symmetry_space_group_name_Hall 'P 1'
_cell_length_a 4.6903
_cell_length_b 6.4968
_cell_length_c 15.5127
_cell_angle_alpha 16.37
_cell_angle_beta 77.64
_cell_angle_gamma 75.29
loop_
_atom_site_label
_atom_site_type_symbol
_atom_site_fract_x
_atom_site_fract_y
_atom_site_fract_z
_atom_site_occupancy
Ga1 Ga 0.0336 0.9315 0.2023 1
Ga2 Ga 0.5125 0.3526 0.4694 1
Bi1 Bi 0.5781 0.5527 0.1089 1
Bi2 Bi 0.9680 0.7314 0.5628 1
H1 H 0.5415 0.7464 0.7847 1
H2 H 0.0047 0.5376 0.8869 1

=====

No. 5
# HfP2PtS (PBE-GGA, relaxed)
# excess energy over the best structure of this formula in the dataset	185	meV/atom
# uncorrected formation energy	0.622	eV/atom
# total energy	-5.567	eV/atom
data_HfP2PtS
_symmetry_space_group_name_H-M 'P 1'
_symmetry_Int_Tables_number 1
_symmetry_space_group_name_Hall 'P 1'
_cell_length_a 4.9776
_cell_length_b 4.9776
_cell_length_c 4.7330
_cell_angle_alpha 90.00
_cell_angle_beta 90.00
_cell_angle_gamma 90.00
loop_
_atom_site_label
_atom_site_type_symbol
_atom_site_fract_x
_atom_site_fract_y
_atom_site_fract_z
_atom_site_occupancy
P1 P 0.0000 0.5000 0.0000 1
P2 P 0.5000 0.0000 0.0000 1
S1 S 0.0000 0.0000 0.5000 1
Hf1 Hf 0.0000 0.0000 0.0000 1
Pt1 Pt 0.5000 0.5000 0.5000 1

=====

No. 6
# PrDy5Tm2 (PBE-GGA, relaxed)
# excess energy over the best structure of this formula in the dataset	0	meV/atom
# energy of formation from the pure elements	0.020	eV/atom
# total energy	-4.572	eV/atom
data_PrDy5Tm2
_symmetry_space_group_name_H-M 'P 1'
_symmetry_Int_Tables_number 1
_symmetry_space_group_name_Hall 'P 1'
_cell_length_a 5.0053
_cell_length_b 7.1045
_cell_length_c 14.2147
_cell_angle_alpha 90.00
_cell_angle_beta 90.00
_cell_angle_gamma 90.00
loop_
_atom_site_label
_atom_site_type_symbol
_atom_site_fract_x
_atom_site_fract_y
_atom_site_fract_z
_atom_site_occupancy
Pr1 Pr 0.0000 0.0000 0.5000 1
Pr2 Pr 0.0000 0.5000 0.0000 1
Dy1 Dy 0.0000 0.0000 0.0000 1
Dy2 Dy 0.0000 0.5000 0.5000 1
Dy3 Dy 0.0000 0.4980 0.7487 1
Dy4 Dy 0.0000 0.5020 0.2513 1
Dy5 Dy 0.0000 0.0020 0.2487 1
Dy6 Dy 0.0000 0.9980 0.7513 1
Dy7 Dy 0.5000 0.2475 0.8739 1
Dy8 Dy 0.5000 0.7525 0.1261 1
Dy9 Dy 0.5000 0.2525 0.3739 1
Dy10 Dy 0.5000 0.7475 0.6261 1
Tm1 Tm 0.5000 0.2495 0.6260 1
Tm2 Tm 0.5000 0.7505 0.3740 1
Tm3 Tm 0.5000 0.2505 0.1260 1
Tm4 Tm 0.5000 0.7495 0.8740 1

=====

No. 7
# KMn3Co (PBE-GGA, relaxed)
# excess energy over the best structure of this formula in the dataset	2210	meV/atom
# energy of formation from the pure elements	3.073	eV/atom
# total energy	-4.069	eV/atom
data_KMn3Co
_symmetry_space_group_name_H-M 'P 1'
_symmetry_Int_Tables_number 1
_symmetry_space_group_name_Hall 'P 1'
_cell_length_a 4.0977
_cell_length_b 4.0977
_cell_length_c 4.0977
_cell_angle_alpha 90.00
_cell_angle_beta 90.00
_cell_angle_gamma 90.00
loop_
_atom_site_label
_atom_site_type_symbol
_atom_site_fract_x
_atom_site_fract_y
_atom_site_fract_z
_atom_site_occupancy
K1 K 0.0000 0.0000 0.0000 1
Mn1 Mn 0.0000 0.5000 0.0000 1
Mn2 Mn 0.0000 0.0000 0.5000 1
Mn3 Mn 0.5000 0.0000 0.0000 1
Co1 Co 0.5000 0.5000 0.5000 1

=====

No. 8
# Pa8Tc5Ir (PBE-GGA, relaxed)
# energy of formation from the pure elements	-0.242	eV/atom
# total energy	-10.003	eV/atom
data_Pa8Tc5Ir
_symmetry_space_group_name_H-M 'P 1'
_symmetry_Int_Tables_number 1
_symmetry_space_group_name_Hall 'P 1'
_cell_length_a 7.3725
_cell_length_b 7.3725
_cell_length_c 7.3725
_cell_angle_alpha 108.89
_cell_angle_beta 110.63
_cell_angle_gamma 108.89
loop_
_atom_site_label
_atom_site_type_symbol
_atom_site_fract_x
_atom_site_fract_y
_atom_site_fract_z
_atom_site_occupancy
Pa1 Pa 0.1279 0.7600 0.9964 1
Pa2 Pa 0.0036 0.1316 0.7637 1
Pa3 Pa 0.7399 0.2481 0.3719 1
Pa4 Pa 0.6281 0.3680 0.8762 1
Pa5 Pa 0.5082 0.6320 0.2601 1
Pa6 Pa 0.6321 0.8684 0.8721 1
Pa7 Pa 0.2363 0.2400 0.3679 1
Pa8 Pa 0.1238 0.7519 0.4918 1
Tc1 Tc 0.0161 0.3894 0.1331 1
Tc2 Tc 0.8669 0.8830 0.2563 1
Tc3 Tc 0.7437 0.6106 0.6267 1
Tc4 Tc 0.5000 0.0000 0.5000 1
Tc5 Tc 0.3733 0.1170 0.9839 1
Ir1 Ir 0.2500 0.5000 0.7500 1

=====

No. 9
# CuTe2I (PBE-GGA, relaxed)
# uncorrected formation energy	0.020	eV/atom
# total energy	-2.962	eV/atom
data_CuTe2I
_symmetry_space_group_name_H-M 'P 1'
_symmetry_Int_Tables_number 1
_symmetry_space_group_name_Hall 'P 1'
_cell_length_a 5.1471
_cell_length_b 8.2406
_cell_length_c 8.2406
_cell_angle_alpha 109.19
_cell_angle_beta 90.00
_cell_angle_gamma 90.00
loop_
_atom_site_label
_atom_site_type_symbol
_atom_site_fract_x
_atom_site_fract_y
_atom_site_fract_z
_atom_site_occupancy
Cu1 Cu 0.0000 0.3152 0.3152 1
Cu2 Cu 0.5000 0.6848 0.6848 1
Te1 Te 0.3081 0.2276 0.0454 1
Te2 Te 0.1919 0.9546 0.7724 1
Te3 Te 0.8081 0.7724 0.9546 1
Te4 Te 0.6919 0.0454 0.2276 1
I1 I 0.7500 0.3832 0.6168 1
I2 I 0.2500 0.6168 0.3832 1

=====

No. 10
# Rb2CoNiSe4 (PBE-GGA, relaxed)
# uncorrected formation energy	-0.585	eV/atom
# total energy	-4.180	eV/atom
data_Rb2CoNiSe4
_symmetry_space_group_name_H-M 'P 1'
_symmetry_Int_Tables_number 1
_symmetry_space_group_name_Hall 'P 1'
_cell_length_a 5.7020
_cell_length_b 7.3902
_cell_length_c 12.1478
_cell_angle_alpha 84.81
_cell_angle_beta 76.43
_cell_angle_gamma 67.31
loop_
_atom_site_label
_atom_site_type_symbol
_atom_site_fract_x
_atom_site_fract_y
_atom_site_fract_z
_atom_site_occupancy
Rb1 Rb 0.1815 0.0000 0.6370 1
Rb2 Rb 0.8185 0.0000 0.3630 1
Rb3 Rb 0.5685 0.5000 0.8630 1
Rb4 Rb 0.9315 0.5000 0.1370 1
Co1 Co 0.2500 0.5000 0.5000 1
Co2 Co 0.5000 0.0000 0.0000 1
Ni1 Ni 0.7500 0.5000 0.5000 1
Ni2 Ni 0.0000 0.0000 0.0000 1
Se1 Se 0.2943 0.8162 0.1096 1
Se2 Se 0.2200 0.1838 0.8904 1
Se3 Se 0.8895 0.8162 0.8904 1
Se4 Se 0.5961 0.1838 0.1096 1
Se5 Se 0.4557 0.6838 0.3904 1
Se6 Se 0.5300 0.3162 0.6096 1
Se7 Se 0.8605 0.6838 0.6096 1
Se8 Se 0.1539 0.3162 0.3904 1

=====

No. 11
# CaZnRh2 (PBE-GGA, relaxed)
# energy of formation from the pure elements	-0.156	eV/atom
# total energy	-4.650	eV/atom
data_CaZnRh2
_symmetry_space_group_name_H-M 'P 1'
_symmetry_Int_Tables_number 1
_symmetry_space_group_name_Hall 'P 1'
_cell_length_a 5.1978
_cell_length_b 5.1978
_cell_length_c 5.1978
_cell_angle_alpha 143.46
_cell_angle_beta 124.11
_cell_angle_gamma 68.64
loop_
_atom_site_label
_atom_site_type_symbol
_atom_site_fract_x
_atom_site_fract_y
_atom_site_fract_z
_atom_site_occupancy
Zn1 Zn 0.2500 0.7500 0.5000 1
Rh1 Rh 0.0208 0.0208 0.0000 1
Rh2 Rh 0.4792 0.4792 0.0000 1
Ca1 Ca 0.7500 0.2500 0.5000 1

=====

No. 12
# BaCu3Ge (PBE-GGA, relaxed)
# excess energy over the best structure of this formula in the dataset	1617	meV/atom
# energy of formation from the pure elements	1.548	eV/atom
# total energy	-2.218	eV/atom
data_BaCu3Ge
_symmetry_space_group_name_H-M 'P 1'
_symmetry_Int_Tables_number 1
_symmetry_space_group_name_Hall 'P 1'
_cell_length_a 5.4422
_cell_length_b 5.4422
_cell_length_c 5.4422
_cell_angle_alpha 90.00
_cell_angle_beta 90.00
_cell_angle_gamma 90.00
loop_
_atom_site_label
_atom_site_type_symbol
_atom_site_fract_x
_atom_site_fract_y
_atom_site_fract_z
_atom_site_occupancy
Ge1 Ge 0.5000 0.5000 0.5000 1
Ba1 Ba 0.0000 0.0000 0.0000 1
Cu1 Cu 0.0000 0.5000 0.0000 1
Cu2 Cu 0.0000 0.0000 0.5000 1
Cu3 Cu 0.5000 0.0000 0.0000 1

=====

No. 13
# Ca2ZnGa2 (PBE-GGA, relaxed)
# excess energy over the best structure of this formula in the dataset	262	meV/atom
# energy of formation from the pure elements	-0.172	eV/atom
# total energy	-2.438	eV/atom
data_Ca2ZnGa2
_symmetry_space_group_name_H-M 'P 1'
_symmetry_Int_Tables_number 1
_symmetry_space_group_name_Hall 'P 1'
_cell_length_a 3.7561
_cell_length_b 3.7561
_cell_length_c 9.4262
_cell_angle_alpha 78.51
_cell_angle_beta 78.51
_cell_angle_gamma 90.00
loop_
_atom_site_label
_atom_site_type_symbol
_atom_site_fract_x
_atom_site_fract_y
_atom_site_fract_z
_atom_site_occupancy
Zn1 Zn 0.0000 0.0000 0.0000 1
Ca1 Ca 0.3991 0.3991 0.2017 1
Ca2 Ca 0.6009 0.6009 0.7983 1
Ga1 Ga 0.7500 0.2500 0.5000 1
Ga2 Ga 0.2500 0.7500 0.5000 1

=====

No. 14
# HgTe2Se (PBE-GGA, relaxed)
# excess energy over the best structure of this formula in the dataset	350	meV/atom
# uncorrected formation energy	0.356	eV/atom
# total energy	-2.161	eV/atom
data_HgTe2Se
_symmetry_space_group_name_H-M 'P 1'
_symmetry_Int_Tables_number 1
_symmetry_space_group_name_Hall 'P 1'
_cell_length_a 5.2509
_cell_length_b 5.2509
_cell_length_c 5.2509
_cell_angle_alpha 60.00
_cell_angle_beta 60.00
_cell_angle_gamma 60.00
loop_
_atom_site_label
_atom_site_type_symbol
_atom_site_fract_x
_atom_site_fract_y
_atom_site_fract_z
_atom_site_occupancy
Te1 Te 0.2500 0.2500 0.2500 1
Te2 Te 0.7500 0.7500 0.7500 1
Hg1 Hg 0.5000 0.5000 0.5000 1
Se1 Se 0.0000 0.0000 0.0000 1

=====

No. 15
# La2CN6 (PBE-GGA, relaxed)
# uncorrected formation energy	-0.285	eV/atom
# total energy	-7.955	eV/atom
data_La2CN6
_symmetry_space_group_name_H-M 'P 1'
_symmetry_Int_Tables_number 1
_symmetry_space_group_name_Hall 'P 1'
_cell_length_a 5.3149
_cell_length_b 3.4815
_cell_length_c 13.4005
_cell_angle_alpha 90.86
_cell_angle_beta 81.00
_cell_angle_gamma 137.30
loop_
_atom_site_label
_atom_site_type_symbol
_atom_site_fract_x
_atom_site_fract_y
_atom_site_fract_z
_atom_site_occupancy
La1 La 0.6823 0.1598 0.7333 1
La2 La 0.3177 0.8402 0.2667 1
C1 C 0.0000 0.0000 0.5000 1
N1 N 0.4756 0.9832 0.0426 1
N2 N 0.5244 0.0168 0.9574 1
N3 N 0.8519 0.8802 0.2249 1
N4 N 0.1549 0.1625 0.4087 1
N5 N 0.1481 0.1198 0.7751 1
N6 N 0.8451 0.8375 0.5913 1

=====

No. 16
# InBr2Cl (PBE-GGA, relaxed)
# excess energy over the best structure of this formula in the dataset	79	meV/atom
# uncorrected formation energy	-0.831	eV/atom
# total energy	-2.814	eV/atom
data_InBr2Cl
_symmetry_space_group_name_H-M 'P 1'
_symmetry_Int_Tables_number 1
_symmetry_space_group_name_Hall 'P 1'
_cell_length_a 6.9313
_cell_length_b 6.8930
_cell_length_c 3.7281
_cell_angle_alpha 90.90
_cell_angle_beta 106.45
_cell_angle_gamma 116.02
loop_
_atom_site_label
_atom_site_type_symbol
_atom_site_fract_x
_atom_site_fract_y
_atom_site_fract_z
_atom_site_occupancy
Cl1 Cl 0.5784 0.3589 0.8437 1
Br1 Br 0.9090 0.0929 0.0115 1
Br2 Br 0.1736 0.7084 0.6631 1
In1 In 0.8390 0.3398 0.4817 1

=====

No. 17
# LaDyTm5 (PBE-GGA, relaxed)
# excess energy over the best structure of this formula in the dataset	0	meV/atom
# energy of formation from the pure elements	0.178	eV/atom
# total energy	-4.378	eV/atom
data_LaDyTm5
_symmetry_space_group_name_H-M 'P 1'
_symmetry_Int_Tables_number 1
_symmetry_space_group_name_Hall 'P 1'
_cell_length_a 7.0385
_cell_length_b 8.7914
_cell_length_c 8.7914
_cell_angle_alpha 80.52
_cell_angle_beta 66.37
_cell_angle_gamma 66.37
loop_
_atom_site_label
_atom_site_type_symbol
_atom_site_fract_x
_atom_site_fract_y
_atom_site_fract_z
_atom_site_occupancy
La1 La 0.0000 0.0000 0.0000 1
La2 La 0.5000 0.0000 0.0000 1
Dy1 Dy 0.7500 0.2919 0.7081 1
Dy2 Dy 0.2500 0.7081 0.2919 1
Tm1 Tm 0.4638 0.2858 0.2864 1
Tm2 Tm 0.7500 0.5000 0.0000 1
Tm3 Tm 0.9638 0.2864 0.2858 1
Tm4 Tm 0.7500 0.7092 0.2908 1
Tm5 Tm 0.7500 0.0000 0.5000 1
Tm6 Tm 0.2500 0.0000 0.5000 1
Tm7 Tm 0.2500 0.2908 0.7092 1
Tm8 Tm 0.0362 0.7136 0.7142 1
Tm9 Tm 0.2500 0.5000 0.0000 1
Tm10 Tm 0.5362 0.7142 0.7136 1